(1)
Material: EuYPt
Method: DFT, PBE-GGA
State: optimized geometry

```
EuYPt
1.0
6.465 0.000 0.000
0.000 4.172 0.000
0.000 -2.086 3.613
Pt Y Eu
1 1 1
direct
0.018 0.000 0.000
0.232 0.333 0.667
0.750 0.667 0.333
```

* calculated formation energy: -714 meV/atom
* Fermi-level density of states: 3.341 states/eV per atom
* raw total energy: -24.921 eV per formula unit


(2)
Material: Pa6IrSe5
Method: DFT, PBE-GGA
State: optimized geometry

```
Pa6IrSe5
1.0
6.977 0.176 1.063
1.717 5.948 3.467
0.118 0.075 7.074
Pa Se Ir
6 5 1
direct
0.753 0.763 0.000
0.761 0.399 0.679
0.239 0.601 0.321
0.761 0.078 0.321
0.247 0.237 0.000
0.239 0.922 0.679
0.500 0.173 0.653
0.000 0.335 0.329
0.500 0.827 0.347
0.000 0.665 0.671
0.500 0.500 0.000
0.000 0.000 0.000
```

* uncorrected formation energy: -1.14 eV/atom
* Fermi-level density of states: 1.884 states/eV per atom
* raw total energy: -96.936 eV per formula unit


(3)
Material: SrBeW2
Method: DFT, PBE-GGA
State: optimized geometry

```
SrBeW2
1.0
-2.917 -0.622 -5.339
-1.391 -2.835 -5.236
-4.018 -2.757 0.286
Sr Be W
1 1 2
direct
0.250 0.250 0.250
0.750 0.750 0.750
0.049 0.049 0.950
0.451 0.451 0.550
```

* calculated formation energy: 819 meV/atom
* Fermi-level density of states: 0.861 states/eV per atom
* raw total energy: -28.038 eV per formula unit


(4)
Material: Tb2PmHo3Sb6
Method: DFT, PBE-GGA
State: optimized geometry

```
Tb2PmHo3Sb6
1.0
-0.081 4.380 0.424
-0.854 -0.860 8.715
9.541 -1.892 -1.462
Ho Sb Tb Pm
3 6 2 1
direct
0.500 0.500 0.000
0.166 0.833 0.332
0.834 0.167 0.668
0.331 0.917 0.662
0.000 0.256 0.000
0.000 0.744 0.000
0.669 0.083 0.338
0.666 0.584 0.332
0.334 0.416 0.668
0.833 0.666 0.666
0.167 0.334 0.334
0.500 0.000 0.000
```

* uncorrected formation energy: -1.14 eV/atom
* Fermi-level density of states: 0.159 states/eV per atom
* raw total energy: -66.110 eV per formula unit


(5)
Material: Ti2CrPN
Method: DFT, PBE-GGA
State: optimized geometry

```
Ti2CrPN
1.0
4.466 0.000 0.000
0.000 4.109 0.000
0.000 0.000 4.466
Ti P N Cr
2 1 1 1
direct
0.000 0.000 0.500
0.500 0.000 0.000
0.000 0.500 0.000
0.500 0.500 0.500
0.000 0.000 0.000
```

* uncorrected formation energy: 1.04 eV/atom
* Fermi-level density of states: 1.259 states/eV per atom
* raw total energy: -33.927 eV per formula unit


(6)
Material: ThH4Pt2
Method: DFT, PBE-GGA
State: optimized geometry

```
ThH4Pt2
1.0
4.791 0.000 2.364
2.395 4.001 1.182
0.621 0.000 4.777
Pt H Th
2 4 1
direct
0.250 0.500 0.500
0.750 0.500 0.500
0.997 0.284 0.723
0.280 0.722 0.717
0.003 0.716 0.277
0.720 0.278 0.283
0.500 0.000 0.000
```

* Fermi-level density of states: 0.149 states/eV per atom
* raw total energy: -35.207 eV per formula unit


(7)
Material: MgAlNi2
Method: DFT, PBE-GGA
State: optimized geometry

```
MgAlNi2
1.0
4.240 0.000 0.000
0.000 2.877 -0.001
0.000 0.002 4.240
Mg Al Ni
1 1 2
direct
0.500 0.625 0.875
0.000 0.625 0.375
0.000 0.125 0.875
0.500 0.125 0.375
```

* calculated formation energy: -407 meV/atom
* Fermi-level density of states: 0.427 states/eV per atom
* raw total energy: -18.529 eV per formula unit


(8)
Material: BaAgMo2
Method: DFT, PBE-GGA
State: optimized geometry

```
BaAgMo2
1.0
-5.030 0.420 1.559
-1.224 -0.134 -3.913
-0.272 -4.087 0.225
Mo Ag Ba
2 1 1
direct
0.000 0.000 0.000
0.000 0.500 0.500
0.500 0.500 0.000
0.500 0.000 0.500
```

* calculated formation energy: 1287 meV/atom
* Fermi-level density of states: 1.559 states/eV per atom
* raw total energy: -21.287 eV per formula unit


(9)
Material: CePmTm2
Method: DFT, PBE-GGA
State: optimized geometry

```
CePmTm2
1.0
4.907 0.000 0.000
0.000 5.030 0.000
0.000 0.000 5.030
Ce Pm Tm
1 1 2
direct
0.500 0.000 0.000
0.500 0.500 0.500
0.000 0.500 0.000
0.000 0.000 0.500
```

* calculated formation energy: 69 meV/atom
* Fermi-level density of states: 1.833 states/eV per atom
* raw total energy: -19.350 eV per formula unit


(10)
Material: AcPmNd2
Method: DFT, PBE-GGA
State: optimized geometry

```
AcPmNd2
1.0
-3.666 -0.229 -0.837
-1.112 -1.806 -3.114
-2.384 -11.076 4.998
Pm Nd Ac
1 2 1
direct
0.667 0.667 0.000
0.080 0.080 0.759
0.253 0.253 0.241
0.500 0.500 0.500
```

* calculated formation energy: 37 meV/atom
* Fermi-level density of states: 1.462 states/eV per atom
* raw total energy: -18.249 eV per formula unit


(11)
Material: Sm4BeBr6
Method: DFT, PBE-GGA
State: optimized geometry

```
Sm4BeBr6
1.0
7.148 0.000 0.000
0.000 9.610 0.000
0.000 0.000 9.610
Sm Br Be
8 12 2
direct
0.334 0.000 0.766
0.834 0.266 0.500
0.166 0.500 0.734
0.666 0.234 0.000
0.166 0.500 0.266
0.334 0.000 0.234
0.666 0.766 0.000
0.834 0.734 0.500
0.500 0.707 0.707
0.000 0.207 0.793
0.000 0.207 0.207
0.590 0.000 0.500
0.500 0.293 0.293
0.410 0.500 0.000
0.090 0.000 0.500
0.000 0.793 0.207
0.500 0.707 0.293
0.500 0.293 0.707
0.910 0.500 0.000
0.000 0.793 0.793
0.000 0.500 0.500
0.500 0.000 0.000
```

* uncorrected formation energy: -1.18 eV/atom
* raw total energy: -45.667 eV per formula unit


(12)
Material: Pr3YPu2Te6
Method: DFT, PBE-GGA
State: optimized geometry

```
Pr3YPu2Te6
1.0
4.447 0.000 0.000
0.000 8.983 0.279
-2.224 -2.631 9.405
Te Pr Pu Y
6 3 2 1
direct
0.337 0.913 0.674
0.663 0.087 0.326
0.331 0.422 0.662
0.669 0.578 0.338
0.999 0.758 0.998
0.001 0.242 0.002
0.168 0.834 0.335
0.832 0.166 0.665
0.500 0.500 0.000
0.166 0.333 0.332
0.834 0.667 0.668
0.500 0.000 0.000
```

* uncorrected formation energy: -1.32 eV/atom
* Fermi-level density of states: 2.041 states/eV per atom
* raw total energy: -84.159 eV per formula unit